This record from Alexandria describes a geometry-optimized TbGaIr2 structure. The functional is PBE.

## Properties
Energy of formation = -0.57 eV per atom
Raw total energy = -27.66 eV per cell

a = 3.663 Å, b = 4.330 Å, c = 4.330 Å
α = 90.00°, β = 90.00°, γ = 90.00°
Fractional coordinates of all 4 atoms:
Tb (0.500, 0.500, 0.500)
Ga (0.500, 0.000, 0.000)
Ir (0.000, 0.000, 0.500)
Ir (0.000, 0.500, 0.000)

This record from Alexandria describes a geometry-optimized Tb2GaIr3 structure. The functional is PBE.

## Properties
Energy of formation = -0.83 eV per atom
Raw total energy = -43.84 eV per cell

a = 5.182 Å, b = 5.182 Å, c = 5.182 Å
α = 65.21°, β = 65.21°, γ = 65.21°
Fractional coordinates of all 6 atoms:
Ga (0.000, 0.000, 0.000)
Ir (0.000, 0.500, 0.000)
Ir (0.000, 0.000, 0.500)
Tb (0.627, 0.627, 0.627)
Ir (0.500, 0.000, 0.000)
Tb (0.373, 0.373, 0.373)

This record from Alexandria describes a geometry-optimized Tb4GaIr3 structure. The functional is PBE.

## Properties
Energy of formation = -0.76 eV per atom
Raw total energy = -54.24 eV per cell

a = 3.871 Å, b = 4.339 Å, c = 10.635 Å
α = 90.00°, β = 90.00°, γ = 90.00°
Fractional coordinates of all 8 atoms:
Ir (0.000, 0.500, 0.582)
Tb (0.000, 0.500, 0.848)
Ga (0.500, 0.500, 0.068)
Ir (0.500, 0.000, 0.933)
Tb (0.500, 0.500, 0.368)
Tb (0.500, 0.000, 0.641)
Ir (0.000, 0.000, 0.415)
Tb (0.000, 0.000, 0.146)

This record from Alexandria describes a geometry-optimized TbGaIr2 structure. The functional is PBE.

## Properties
Energy of formation = -0.06 eV per atom
Raw total energy = -102.53 eV per cell

a = 7.316 Å, b = 5.661 Å, c = 8.507 Å
α = 90.00°, β = 90.00°, γ = 90.00°
Last column: magnetic moment on the atom in μB.
Fractional coordinates of all 16 atoms:
Ir (0.500, 0.500, 0.500)  0.12
Ga (0.000, 0.750, 0.743)  0.00
Ir (0.702, 0.250, 0.043)  0.00
Ga (0.500, 0.750, 0.730)  0.00
Tb (0.500, 0.250, 0.784)  -0.01
Ga (0.000, 0.250, 0.257)  0.00
Tb (0.000, 0.250, 0.683)  -0.01
Tb (0.500, 0.750, 0.216)  -0.01
Ga (0.500, 0.250, 0.270)  0.00
Ir (0.000, 0.000, 0.000)  0.00
Ir (0.000, 0.500, 0.000)  0.00
Ir (0.298, 0.250, 0.043)  0.00
Tb (0.000, 0.750, 0.317)  -0.01
Ir (0.500, 0.000, 0.500)  0.12
Ir (0.702, 0.750, 0.957)  0.00
Ir (0.298, 0.750, 0.957)  0.00

This record from Alexandria describes a geometry-optimized Tb4Ga3Ir structure. The functional is PBE.

## Properties
Energy of formation = -0.68 eV per atom
Raw total energy = -41.87 eV per cell

a = 4.170 Å, b = 4.222 Å, c = 10.701 Å
α = 90.00°, β = 90.00°, γ = 90.00°
Fractional coordinates of all 8 atoms:
Tb (0.500, 0.000, 0.645)
Tb (0.000, 0.000, 0.138)
Tb (0.500, 0.500, 0.346)
Tb (0.000, 0.500, 0.869)
Ga (0.500, 0.000, 0.927)
Ga (0.000, 0.000, 0.426)
Ga (0.000, 0.500, 0.575)
Ir (0.500, 0.500, 0.073)

This record from Alexandria describes a geometry-optimized Tb5Ga2Ir structure. The functional is PBE.

## Properties
Energy of formation = -0.34 eV per atom
Raw total energy = -81.50 eV per cell

a = 5.628 Å, b = 5.845 Å, c = 15.056 Å
α = 90.00°, β = 90.00°, γ = 118.78°
Fractional coordinates of all 16 atoms:
Ga (0.750, 0.501, 0.055)
Ir (0.750, 0.499, 0.750)
Tb (0.915, 0.829, 0.892)
Tb (0.414, 0.828, 0.392)
Ga (0.250, 0.499, 0.945)
Ir (0.250, 0.501, 0.250)
Tb (0.414, 0.828, 0.108)
Tb (0.586, 0.172, 0.608)
Tb (0.085, 0.171, 0.108)
Tb (0.750, 0.499, 0.250)
Tb (0.586, 0.172, 0.892)
Tb (0.085, 0.171, 0.392)
Ga (0.750, 0.501, 0.445)
Tb (0.915, 0.829, 0.608)
Ga (0.250, 0.499, 0.555)
Tb (0.250, 0.501, 0.750)

This record from Alexandria describes a geometry-optimized Tb3GaIr structure. The functional is PBE.

## Properties
Energy of formation = -0.58 eV per atom
Raw total energy = -57.37 eV per cell

a = 4.658 Å, b = 6.290 Å, c = 9.344 Å
α = 97.37°, β = 90.01°, γ = 111.68°
Fractional coordinates of all 10 atoms:
Tb (0.154, 0.307, 0.599)
Ga (0.421, 0.843, 0.592)
Ir (0.767, 0.535, 0.107)
Tb (0.846, 0.693, 0.401)
Ir (0.233, 0.465, 0.893)
Tb (0.132, 0.263, 0.176)
Tb (0.868, 0.737, 0.824)
Tb (0.410, 0.821, 0.135)
Tb (0.590, 0.179, 0.865)
Ga (0.579, 0.157, 0.408)

This record from Alexandria describes a geometry-optimized TbGa12Ir6 structure. The functional is PBE.

## Properties
Energy of formation = -0.41 eV per atom
Raw total energy = -101.84 eV per cell

a = 7.208 Å, b = 7.208 Å, c = 7.208 Å
α = 105.20°, β = 105.20°, γ = 105.20°
Fractional coordinates of all 19 atoms:
Ir (0.725, 0.304, 0.725)
Ga (0.500, 0.114, 0.886)
Ga (0.114, 0.500, 0.886)
Ir (0.725, 0.725, 0.304)
Ir (0.275, 0.275, 0.696)
Ga (0.886, 0.114, 0.500)
Ga (0.402, 0.128, 0.402)
Tb (0.000, 0.000, 0.000)
Ir (0.304, 0.725, 0.725)
Ga (0.500, 0.886, 0.114)
Ga (0.598, 0.598, 0.872)
Ir (0.275, 0.696, 0.275)
Ga (0.128, 0.402, 0.402)
Ir (0.696, 0.275, 0.275)
Ga (0.886, 0.500, 0.114)
Ga (0.598, 0.872, 0.598)
Ga (0.114, 0.886, 0.500)
Ga (0.402, 0.402, 0.128)
Ga (0.872, 0.598, 0.598)

This record from Alexandria describes a geometry-optimized TbGa3Ir structure. The functional is PBE.

## Properties
Energy of formation = -0.68 eV per atom
Raw total energy = -77.91 eV per cell
E above lowest polymorph = 0.000 eV per atom

a = 6.445 Å, b = 6.445 Å, c = 6.445 Å
α = 90.00°, β = 90.00°, γ = 90.00°
Fractional coordinates of all 15 atoms:
Ga (0.789, 0.211, 0.789)
Tb (0.000, 0.500, 0.500)
Ir (0.000, 0.500, 0.000)
Ir (0.500, 0.000, 0.000)
Ga (0.789, 0.211, 0.211)
Ga (0.211, 0.789, 0.211)
Ir (0.000, 0.000, 0.500)
Ga (0.789, 0.789, 0.211)
Ga (0.211, 0.211, 0.211)
Ga (0.500, 0.500, 0.500)
Tb (0.500, 0.000, 0.500)
Tb (0.500, 0.500, 0.000)
Ga (0.789, 0.789, 0.789)
Ga (0.211, 0.211, 0.789)
Ga (0.211, 0.789, 0.789)

This record from Alexandria describes a geometry-optimized Tb3Ga2Ir7 structure. The functional is PBE.

## Properties
Energy of formation = -0.74 eV per atom
Raw total energy = -90.88 eV per cell

a = 5.475 Å, b = 5.475 Å, c = 8.816 Å
α = 71.91°, β = 71.91°, γ = 60.00°
Fractional coordinates of all 12 atoms:
Ir (0.075, 0.586, 0.753)
Ir (0.586, 0.075, 0.753)
Tb (0.141, 0.141, 0.577)
Ga (0.336, 0.336, 0.993)
Ir (0.586, 0.586, 0.753)
Ga (0.664, 0.664, 0.007)
Ir (0.925, 0.414, 0.247)
Ir (0.414, 0.414, 0.247)
Ir (0.500, 0.500, 0.500)
Tb (0.859, 0.859, 0.423)
Ir (0.414, 0.925, 0.247)
Tb (0.000, 0.000, 0.000)

This record from Alexandria describes a geometry-optimized Tb2GaIr structure. The functional is PBE.

## Properties
Energy of formation = -0.75 eV per atom
Raw total energy = -48.30 eV per cell

a = 4.321 Å, b = 5.847 Å, c = 7.919 Å
α = 113.69°, β = 90.00°, γ = 90.00°
Fractional coordinates of all 8 atoms:
Ir (0.750, 0.640, 0.785)
Tb (0.750, 0.207, 0.937)
Tb (0.250, 0.793, 0.063)
Ir (0.250, 0.360, 0.215)
Ga (0.750, 0.666, 0.291)
Tb (0.750, 0.234, 0.412)
Tb (0.250, 0.766, 0.588)
Ga (0.250, 0.334, 0.709)

This record from Alexandria describes a geometry-optimized TbGaIr2 structure. The functional is PBE.

## Properties
Energy of formation = -0.52 eV per atom
Raw total energy = -27.47 eV per cell

a = 3.303 Å, b = 3.303 Å, c = 6.363 Å
α = 90.00°, β = 90.00°, γ = 90.00°
Fractional coordinates of all 4 atoms:
Tb (0.500, 0.500, 0.500)
Ga (0.500, 0.500, 0.000)
Ir (0.000, 0.000, 0.218)
Ir (0.000, 0.000, 0.782)